Record 1
Sr2CaCdS (GGA-PBE, optimized geometry); crystal system = tetragonal; total moment = 0.000 μB per atom; electronic total energy = -14.54 eV/f.u.
1.0
5.8263 0.0000 0.0000
0.0000 5.8263 0.0000
0.0000 0.0000 5.3276
Sr Ca S Cd
2 1 1 1
Direct
0.0000 0.5000 0.0000
0.5000 0.0000 0.0000
0.0000 0.0000 0.5000
0.0000 0.0000 0.0000
0.5000 0.5000 0.5000

Record 2
Sm6Al5Cd (GGA-PBE, optimized geometry); crystal system = monoclinic; total moment = 0.000 μB per atom; energy relative to the elements = -0.3648 eV per atom
1.0
-4.9031 1.8878 -0.0881
-1.4538 -3.4797 6.3453
-0.1151 7.3026 3.9783
Al Sm Cd
5 6 1
Direct
0.6660 0.5000 0.6685
0.3363 0.0000 0.3272
0.0000 0.5000 0.0000
0.6637 0.0000 0.6728
0.3340 0.5000 0.3315
0.8312 0.7491 0.3372
0.8312 0.2509 0.3372
0.5000 0.2534 0.0000
0.5000 0.7466 0.0000
0.1688 0.7491 0.6628
0.1688 0.2509 0.6628
0.0000 0.0000 0.0000

Record 3
SrAgSb2 (GGA-PBE, optimized geometry); crystal system = monoclinic; total moment = 0.000 μB per atom; electronic total energy = -14.20 eV/f.u.
1.0
-1.3657 -4.1602 -3.9722
-2.9260 -5.1370 -0.0185
-4.8995 0.9262 -1.7047
Ag Sb Sr
1 2 1
Direct
0.2886 0.2886 0.1308
0.9832 0.9832 0.0151
0.7249 0.7249 0.8532
0.5033 0.5033 0.5009

Record 4
SiPtSe2 (GGA-PBE, optimized geometry); crystal system = orthorhombic; total moment = 0.000 μB per atom; electronic total energy = -18.54 eV/f.u.
1.0
3.8751 0.0000 0.0000
0.0000 4.5345 0.0434
0.0000 1.5446 4.2632
Pt Se Si
1 2 1
Direct
0.5000 0.7500 0.7500
0.0000 0.9861 0.9860
0.0000 0.5139 0.5140
0.5000 0.2500 0.2500